Compound: ScTi12N6
Source: Alexandria via LeMat-Bulk
Functional: PBE
Structure: optimized geometry

## Properties
* formation energy from raw total energies: -0.68 eV/atom
* space group: R-3m

Unit cell a=6.437 b=6.437 c=6.437 alpha=104.07 beta=104.07 gamma=104.07
Positions (direct):
Sc: 0.000 0.000 0.000
Ti: 0.871 0.129 0.500
Ti: 0.814 0.552 0.552
Ti: 0.552 0.552 0.814
Ti: 0.448 0.186 0.448
Ti: 0.448 0.448 0.186
Ti: 0.186 0.448 0.448
Ti: 0.129 0.500 0.871
Ti: 0.500 0.871 0.129
Ti: 0.129 0.871 0.500
Ti: 0.871 0.500 0.129
Ti: 0.500 0.129 0.871
Ti: 0.552 0.814 0.552
N: 0.686 0.237 0.237
N: 0.237 0.237 0.686
N: 0.237 0.686 0.237
N: 0.763 0.763 0.314
N: 0.314 0.763 0.763
N: 0.763 0.314 0.763